No. 1
# Nb4CrC2S4

Nb4CrC2S4 at its PBEsol-relaxed geometry (meta-GGA SCAN, the Alexandria database).

Cell: 5.701 3.295 8.591 Å, 90.00 102.44 90.00°
Space group P2/m (No. 10)
Asymmetric unit:
Nb1 0.118 0.000 0.365 (multiplicity 2)
Nb2 0.375 0.500 0.636 (multiplicity 2)
Cr1 0.000 0.000 0.000 (multiplicity 1)
C1 0.000 0.500 0.500 (multiplicity 1)
C2 0.500 0.000 0.500 (multiplicity 1)
S1 0.226 0.500 0.159 (multiplicity 2)
S2 0.278 0.000 0.836 (multiplicity 2)

Properties
Energy relative to the elements, uncorrected = -0.95 eV/atom


No. 2
# RbCr2NiC

RbCr2NiC at its PBEsol-relaxed geometry (meta-GGA SCAN, the Alexandria database).

Cell: 5.189 5.189 4.396 Å, 90.00 90.00 90.00°
Space group P4/mmm (No. 123)
Asymmetric unit:
Rb1 0.000 0.000 0.000 (multiplicity 1)
Cr1 0.000 0.500 0.000 (multiplicity 2)
Ni1 0.000 0.000 0.500 (multiplicity 1)
C1 0.500 0.500 0.500 (multiplicity 1)

Properties
Energy relative to the elements = 3308 meV/atom


No. 3
# CrCO2

CrCO2 at its PBEsol-relaxed geometry (meta-GGA SCAN, the Alexandria database).

Cell: 3.0232 3.0232 27.5499 Å, 90.00 90.00 120.00°
Space group R-3m (No. 166, hexagonal axes)
Asymmetric unit:
Cr1 0.0000 0.0000 0.0000 (multiplicity 3)
C1 0.0000 0.0000 0.5000 (multiplicity 3)
O1 0.0000 0.0000 0.4573 (multiplicity 6)

Properties
Energy relative to the elements, uncorrected = -0.39 eV/atom


No. 4
# Cr2CO

Cr2CO at its PBEsol-relaxed geometry (meta-GGA SCAN, the Alexandria database).

Cell: 5.033 5.033 5.033 Å, 90.00 90.00 90.00°
Space group Fm-3m (No. 225)
Asymmetric unit:
Cr1 0.250 0.250 0.250 (multiplicity 8)
C1 0.000 0.000 0.000 (multiplicity 4)
O1 0.000 0.000 0.500 (multiplicity 4)

Properties
Energy relative to the elements, uncorrected = -0.06 eV/atom


No. 5
# CrPCO2

CrPCO2 at its PBEsol-relaxed geometry (meta-GGA SCAN, the Alexandria database).

Cell: 3.410 3.410 5.025 Å, 90.00 90.00 90.00°
Space group P4/mmm (No. 123)
Asymmetric unit:
Cr1 0.000 0.000 0.000 (multiplicity 1)
P1 0.000 0.000 0.500 (multiplicity 1)
C1 0.500 0.500 0.500 (multiplicity 1)
O1 0.000 0.500 0.000 (multiplicity 2)

Properties
Energy relative to the elements, uncorrected = 0.20 eV/atom


No. 6
# Cr3OsC

Cr3OsC at its PBEsol-relaxed geometry (meta-GGA SCAN, the Alexandria database).

Cell: 3.786 3.786 3.786 Å, 90.00 90.00 90.00°
Space group Pm-3m (No. 221)
Asymmetric unit:
Cr1 0.000 0.000 0.500 (multiplicity 3)
Os1 0.500 0.500 0.500 (multiplicity 1)
C1 0.000 0.000 0.000 (multiplicity 1)

Properties
Energy relative to the elements = 112 meV/atom


No. 7
# Cr3PC

Cr3PC at its PBEsol-relaxed geometry (meta-GGA SCAN, the Alexandria database).

Cell: 2.850 9.823 7.260 Å, 90.00 90.00 90.00°
Space group Cmcm (No. 63)
Asymmetric unit:
Cr1 0.000 0.051 0.250 (multiplicity 4)
Cr2 0.000 0.370 0.056 (multiplicity 8)
P1 0.000 0.262 0.750 (multiplicity 4)
C1 0.000 0.000 0.000 (multiplicity 4)

Properties
Energy relative to the elements = -240 meV/atom


No. 8
# CrPCS2

CrPCS2 at its PBEsol-relaxed geometry (meta-GGA SCAN, the Alexandria database).

Cell: 4.283 4.283 4.496 Å, 90.00 90.00 90.00°
Space group P4/mmm (No. 123)
Asymmetric unit:
Cr1 0.000 0.000 0.000 (multiplicity 1)
P1 0.000 0.000 0.500 (multiplicity 1)
C1 0.500 0.500 0.500 (multiplicity 1)
S1 0.000 0.500 0.000 (multiplicity 2)

Properties
Energy relative to the elements, uncorrected = 1.54 eV/atom


No. 9
# CrPdC2

CrPdC2 at its PBEsol-relaxed geometry (meta-GGA SCAN, the Alexandria database).

Cell: 5.217 5.217 5.217 Å, 90.00 90.00 90.00°
Space group Fm-3m (No. 225)
Asymmetric unit:
Cr1 0.000 0.000 0.000 (multiplicity 4)
Pd1 0.000 0.000 0.500 (multiplicity 4)
C1 0.250 0.250 0.250 (multiplicity 8)

Properties
Energy relative to the elements = 1441 meV/atom


No. 10
# PrCr2Si2C

PrCr2Si2C at its PBEsol-relaxed geometry (meta-GGA SCAN, the Alexandria database).

Cell: 3.955 3.955 5.343 Å, 90.00 90.00 90.00°
Space group P4/mmm (No. 123)
Asymmetric unit:
Pr1 0.000 0.000 0.000 (multiplicity 1)
Cr1 0.000 0.500 0.500 (multiplicity 2)
Si1 0.500 0.500 0.235 (multiplicity 2)
C1 0.000 0.000 0.500 (multiplicity 1)

Properties
Energy relative to the elements, uncorrected = -0.45 eV/atom


No. 11
# CrReTe2C

CrReTe2C at its PBEsol-relaxed geometry (meta-GGA SCAN, the Alexandria database).

Cell: 4.850 4.850 4.462 Å, 90.00 90.00 90.00°
Space group P4/mmm (No. 123)
Asymmetric unit:
Cr1 0.000 0.000 0.000 (multiplicity 1)
Re1 0.000 0.000 0.500 (multiplicity 1)
Te1 0.000 0.500 0.000 (multiplicity 2)
C1 0.500 0.500 0.500 (multiplicity 1)

Properties
Energy relative to the elements, uncorrected = 2.40 eV/atom


No. 12
# CrRuC2

CrRuC2 at its PBEsol-relaxed geometry (meta-GGA SCAN, the Alexandria database).

Cell: 4.441 4.441 8.996 Å, 90.00 90.00 90.00°
Space group I-42d (No. 122)
Asymmetric unit:
Cr1 0.000 0.000 0.000 (multiplicity 4)
Ru1 0.000 0.000 0.500 (multiplicity 4)
C1 0.246 0.250 0.125 (multiplicity 8)

Properties
Energy relative to the elements = 405 meV/atom


| no. | M_tot (μB/f.u.) | volume (Å³ per atom) |
| --- | --- | --- |
| 1 | 2.61 | 14.329 |
| 2 | 8.54 | 23.673 |
| 3 | 5.07 | 18.173 |
| 4 | 2.10 | 7.969 |
| 5 | 1.84 | 11.683 |
| 6 | 0.00 | 10.857 |
| 7 | 2.10 | 10.163 |
| 8 | 1.75 | 16.493 |
| 9 | 0.00 | 8.876 |
| 10 | 2.38 | 13.933 |
| 11 | 0.79 | 20.992 |
| 12 | 2.00 | 11.087 |